[1]
{
  "formula": "CdSn4S8",
  "functional": "PBE",
  "state": "optimized geometry",
  "lattice_angstrom": [[6.9267, 0.0000, 3.1589], [2.7431, 6.3604, 3.1589], [0.6225, 0.4095, 7.8088]],
  "species": ["Cd", "Sn", "Sn", "Sn", "Sn", "S", "S", "S", "S", "S", "S", "S", "S"],
  "frac_coords": [[0.5000, 0.5000, 0.5000], [0.0000, 0.5000, 0.0000], [0.5000, 0.5000, 0.0000], [0.5000, 0.0000, 0.0000], [0.0000, 0.0000, 0.0000], [0.7287, 0.2522, 0.7668], [0.7478, 0.2713, 0.2332], [0.2713, 0.7478, 0.2332], [0.7478, 0.7478, 0.2332], [0.7413, 0.7413, 0.7760], [0.2587, 0.2587, 0.2240], [0.2522, 0.2522, 0.7668], [0.2522, 0.7287, 0.7668]],
  "final_energy_ev_per_cell": -54.93,
  "crystal_system": "trigonal",
  "sg": "R-3m, No. 166"
}

[2]
{
  "formula": "Nd2Er2TmSc2",
  "functional": "PBE",
  "state": "optimized geometry",
  "lattice_angstrom": [[-2.1545, 0.1941, -2.6263], [-6.2352, -7.4531, 6.7683], [3.9091, 10.6462, -2.4201]],
  "species": ["Nd", "Nd", "Er", "Er", "Tm", "Sc", "Sc"],
  "frac_coords": [[0.7033, 0.4066, 0.0503], [0.2967, 0.5934, 0.9497], [0.9467, 0.8934, 0.7016], [0.0533, 0.1066, 0.2984], [0.0000, 0.0000, 0.5000], [0.6437, 0.2874, 0.2300], [0.3563, 0.7126, 0.7700]],
  "final_energy_ev_per_cell": -34.59,
  "crystal_system": "monoclinic",
  "delta_e_f_mev_per_atom": 172,
  "sg": "C2/m, No. 12"
}

[3]
{
  "formula": "ZrH4Ru",
  "functional": "PBE",
  "state": "optimized geometry",
  "lattice_angstrom": [[4.0914, 0.0000, 0.0000], [-2.0457, 3.9667, -0.1505], [0.0000, -1.5962, 6.1606]],
  "species": ["Zr", "Zr", "H", "H", "H", "H", "H", "H", "H", "H", "Ru", "Ru"],
  "frac_coords": [[0.2499, 0.0000, 0.2500], [0.7501, 0.0000, 0.7500], [0.2497, 0.4999, 0.2498], [0.7498, 0.5001, 0.2502], [0.7503, 0.5001, 0.7502], [0.2502, 0.4999, 0.7498], [0.2239, 0.9476, 0.5786], [0.2763, 0.0524, 0.9214], [0.7761, 0.0524, 0.4214], [0.7237, 0.9476, 0.0786], [0.5000, 0.5000, 0.0000], [0.0000, 0.5000, 0.5000]],
  "final_energy_ev_per_cell": -64.74,
  "crystal_system": "monoclinic",
  "sg": "C2/m, No. 12"
}

[4]
{
  "formula": "Rb2CaCu",
  "functional": "PBE",
  "state": "optimized geometry",
  "lattice_angstrom": [[-10.6576, 2.2145, 6.1144], [-0.4605, -11.9663, 3.5313], [-4.0429, -4.2240, 7.2295]],
  "species": ["Ca", "Ca", "Cu", "Cu", "Rb", "Rb", "Rb", "Rb"],
  "frac_coords": [[0.5000, 0.5000, 0.0000], [0.2500, 0.7500, 0.5000], [0.0000, 0.0000, 0.0000], [0.7500, 0.2500, 0.5000], [0.7616, 0.1250, 0.2500], [0.9884, 0.6250, 0.2500], [0.3750, 0.2384, 0.7500], [0.8750, 0.0116, 0.7500]],
  "polymorph_energy_mev_per_atom": 0,
  "final_energy_ev_per_cell": -13.22,
  "crystal_system": "tetragonal",
  "delta_e_f_mev_per_atom": 356,
  "sg": "I-42d, No. 122"
}

[5]
{
  "formula": "ZrTaRu2",
  "functional": "PBE",
  "state": "optimized geometry",
  "lattice_angstrom": [[2.8278, 0.0000, 0.0000], [0.0000, 2.8278, 0.0000], [0.0000, 0.0000, 8.5571]],
  "species": ["Ru", "Ru", "Ta", "Zr"],
  "frac_coords": [[0.0000, 0.0000, 0.0330], [0.5000, 0.5000, 0.2241], [0.0000, 0.0000, 0.4781], [0.5000, 0.5000, 0.7648]],
  "final_energy_ev_per_cell": -38.82,
  "crystal_system": "tetragonal",
  "delta_e_f_mev_per_atom": 33,
  "sg": "P4mm, No. 99"
}

[6]
{
  "formula": "Nd2ErNi2",
  "functional": "PBE",
  "state": "optimized geometry",
  "lattice_angstrom": [[3.7997, 0.0000, 0.0000], [1.8999, 6.3795, 0.0159], [1.8999, 0.9573, 9.8276]],
  "species": ["Nd", "Nd", "Nd", "Nd", "Er", "Er", "Ni", "Ni", "Ni", "Ni"],
  "frac_coords": [[0.3396, 0.2506, 0.0701], [0.4563, 0.3966, 0.6907], [0.6604, 0.7494, 0.9299], [0.5437, 0.6034, 0.3093], [0.7931, 0.0529, 0.3609], [0.2069, 0.9471, 0.6391], [0.9975, 0.1210, 0.8840], [0.1151, 0.3160, 0.4539], [0.0025, 0.8790, 0.1160], [0.8849, 0.6840, 0.5461]],
  "final_energy_ev_per_cell": -54.23,
  "crystal_system": "monoclinic",
  "delta_e_f_mev_per_atom": -291,
  "sg": "C2/m, No. 12"
}

[7]
{
  "formula": "YHfHg2Rh",
  "functional": "PBE",
  "state": "optimized geometry",
  "lattice_angstrom": [[5.1954, 0.0000, 0.0000], [0.0000, 4.9501, 0.0000], [0.0000, 0.0000, 5.1954]],
  "species": ["Y", "Rh", "Hf", "Hg", "Hg"],
  "frac_coords": [[0.0000, 0.5000, 0.0000], [0.0000, 0.0000, 0.0000], [0.5000, 0.5000, 0.5000], [0.0000, 0.0000, 0.5000], [0.5000, 0.0000, 0.0000]],
  "final_energy_ev_per_cell": -22.24,
  "crystal_system": "tetragonal",
  "delta_e_f_mev_per_atom": 426,
  "sg": "P4/mmm, No. 123"
}

[8]
{
  "formula": "CdAs2SeBr",
  "functional": "PBE",
  "state": "optimized geometry",
  "lattice_angstrom": [[5.3200, 0.0000, 0.0000], [0.0000, 5.3200, 0.0000], [0.0000, 0.0000, 5.1097]],
  "species": ["As", "As", "Se", "Br", "Cd"],
  "frac_coords": [[0.0000, 0.5000, 0.0000], [0.5000, 0.0000, 0.0000], [0.0000, 0.0000, 0.5000], [0.5000, 0.5000, 0.5000], [0.0000, 0.0000, 0.0000]],
  "polymorph_energy_mev_per_atom": 239,
  "final_energy_ev_per_cell": -11.14,
  "crystal_system": "tetragonal",
  "sg": "P4/mmm, No. 123"
}